VASP calculation (PBEsol) on crystalline Fe2WAu at its relaxed geometry.

Cell: 2.815 2.815 6.837 Å, 90.00 90.00 90.00°
Fractional coordinates of all 4 atoms:
Fe (0.000, 0.000, 0.000)
Fe (0.500, 0.500, 0.194)
W (0.000, 0.000, 0.430)
Au (0.500, 0.500, 0.735)

Calculated values
- Fermi-level density of states: 3.0 states/eV/f.u.
- Distance to the lowest polymorph of the same formula: 2 meV per atom
- E: -8.7113 eV per atom
- E_form: 0.8 eV per formula unit
- Spin magnetization: 4.24 μB per cell